VASP calculation (PBE) on crystalline TaTlNO at its relaxed geometry.

DFT total energy, eV per atom: -7.612
SG: P4/nmm (129)

Cell: 4.2143 4.2143 8.5572 Å, 90.00 90.00 90.00°
Fractional positions:
N  0.0000  0.5000  0.2590
N  0.5000  0.0000  0.7410
O  0.0000  0.0000  0.0000
O  0.5000  0.5000  0.0000
Ta  0.0000  0.5000  0.0537
Ta  0.5000  0.0000  0.9463
Tl  0.0000  0.0000  0.5000
Tl  0.5000  0.5000  0.5000